Density functional theory data (GGA-PBE) for an optimized crystal structure of HfSiPF2.

a = 3.796 Å, b = 5.968 Å, c = 3.796 Å
α = 90.00°, β = 90.00°, γ = 90.00°
Each line ends with the local moment (μB).
Positions (direct):
P  0.000  0.500  0.000  -0.02
Si  0.000  0.000  0.000  0.00
Hf  0.500  0.500  0.500  0.61
F  0.000  0.000  0.500  0.01
F  0.500  0.000  0.000  0.01

ΔE_f (raw)	-93.8	kJ per mole of atoms